VASP calculation (GGA-PBE) on a geometry-optimized NdErIr structure. Values from VASP.

Output
Density (g/cm3): 10.51
V (A^3/atom): 26.53
Energy (hartree per atom): -0.2413
Space group: I4mm

```
&SYSTEM
  ibrav = 0, nat = 6, ntyp = 3
/
ATOMIC_SPECIES
Nd 144.24 Nd.upf
Er 167.26 Er.upf
Ir 192.22 Ir.upf
CELL_PARAMETERS angstrom
3.508 0.000 0.000
0.000 3.508 0.000
0.000 0.000 12.934
ATOMIC_POSITIONS angstrom
Nd 0.000 0.000 0.000
Nd 1.754 1.754 6.467
Er 0.000 0.000 3.290
Er 1.754 1.754 9.757
Ir 0.000 0.000 8.237
Ir 1.754 1.754 1.770
```